Model one:
The following is a DFT calculation (GGA-PBE) of PaF4 after structural relaxation.

Calculated values
Space-group type: No. 221
D(E_F): 0.67 states/eV per cell
Total moment: 0.2011 μB per atom

a b c (Å): 4.4300 4.4300 4.4300
angles (deg): 90.00 90.00 90.00
With the nearest neighbours (Å) after each atom.
Positions (direct):
1 Pa 0.5000 0.5000 0.5000  6 F 2.21
2 F 0.0000 0.0000 0.0000  12 F 3.13
3 F 0.5000 0.0000 0.5000  2 Pa 2.21
4 F 0.5000 0.5000 0.0000  2 Pa 2.21
5 F 0.0000 0.5000 0.5000  2 Pa 2.21

Model two:
The following is a DFT calculation (GGA-PBE) of PaF4 after structural relaxation.

Calculated values
Space-group type: No. 114
D(E_F): 8.75 states/eV per cell
Total moment: 0.2001 μB per atom

a b c (Å): 5.2000 5.2000 5.3363
angles (deg): 90.00 90.00 90.00
With the nearest neighbours (Å) after each atom.
Positions (direct):
1 F 0.7571 0.1932 0.6800  2 Pa 2.29-2.35
2 F 0.2571 0.3068 0.8200  2 Pa 2.29-2.35
3 F 0.2429 0.8068 0.6800  2 Pa 2.29-2.35
4 F 0.7429 0.6932 0.8200  2 Pa 2.29-2.35
5 F 0.6932 0.2571 0.1800  2 Pa 2.29-2.35
6 F 0.8068 0.7571 0.3200  2 Pa 2.29-2.35
7 F 0.3068 0.7429 0.1800  2 Pa 2.29-2.35
8 F 0.1932 0.2429 0.3200  2 Pa 2.29-2.35
9 Pa 0.0000 0.0000 0.0000  8 F 2.29-2.35
10 Pa 0.5000 0.5000 0.5000  8 F 2.29-2.35

Most stable: model two. Least stable: model one.